No. 1
A relaxed structure of Nb3As. Source: Alexandria via LeMat-Bulk, functional PBEsol.

Unit cell a=10.255 b=10.255 c=5.178 alpha=90.00 beta=90.00 gamma=90.00
Fractional positions:
Nb  0.037  0.554  0.242
Nb  0.054  0.963  0.742
Nb  0.101  0.241  0.016
Nb  0.157  0.665  0.731
Nb  0.165  0.843  0.231
Nb  0.241  0.399  0.484
Nb  0.259  0.101  0.484
Nb  0.335  0.657  0.231
Nb  0.343  0.835  0.731
Nb  0.399  0.259  0.016
Nb  0.446  0.537  0.742
Nb  0.463  0.946  0.242
Nb  0.537  0.054  0.758
Nb  0.554  0.463  0.258
Nb  0.601  0.741  0.984
Nb  0.657  0.165  0.269
Nb  0.665  0.343  0.769
Nb  0.741  0.899  0.516
Nb  0.759  0.601  0.516
Nb  0.835  0.157  0.769
Nb  0.843  0.335  0.269
Nb  0.899  0.759  0.984
Nb  0.946  0.037  0.258
Nb  0.963  0.446  0.758
As  0.043  0.232  0.518
As  0.232  0.457  0.982
As  0.268  0.043  0.982
As  0.457  0.268  0.518
As  0.543  0.732  0.482
As  0.732  0.957  0.018
As  0.768  0.543  0.018
As  0.957  0.768  0.482

Summary:
As for the formation energy: -45 kJ per mole of atoms.



No. 2
A relaxed structure of NbNiAs2. Source: Alexandria via LeMat-Bulk, functional PBEsol.

Unit cell a=5.570 b=3.502 c=12.423 alpha=90.00 beta=90.00 gamma=90.00
Fractional positions:
Nb  0.011  0.250  0.172
Nb  0.489  0.750  0.672
Nb  0.511  0.250  0.328
Nb  0.989  0.750  0.828
Ni  0.022  0.250  0.413
Ni  0.478  0.750  0.913
Ni  0.522  0.250  0.087
Ni  0.978  0.750  0.587
As  0.143  0.250  0.689
As  0.195  0.250  0.963
As  0.305  0.750  0.463
As  0.357  0.750  0.189
As  0.643  0.250  0.811
As  0.695  0.250  0.537
As  0.805  0.750  0.037
As  0.857  0.750  0.311

Summary:
As for the formation energy: -53 kJ per mole of atoms.



No. 3
A relaxed structure of Nb9AsO25. Source: Alexandria via LeMat-Bulk, functional PBEsol.

Unit cell a=11.356 b=11.356 c=15.826 alpha=134.17 beta=134.17 gamma=19.56
Fractional positions:
Nb  0.000  0.000  0.000
Nb  0.144  0.069  0.326
Nb  0.144  0.088  0.789
Nb  0.257  0.181  0.113
Nb  0.373  0.280  0.443
Nb  0.720  0.627  0.557
Nb  0.819  0.743  0.887
Nb  0.912  0.856  0.211
Nb  0.931  0.856  0.674
As  0.287  0.713  0.500
O  0.019  0.959  0.270
O  0.041  0.981  0.730
O  0.086  0.016  0.167
O  0.124  0.026  0.626
O  0.149  0.084  0.065
O  0.192  0.123  0.510
O  0.225  0.126  0.958
O  0.244  0.192  0.394
O  0.289  0.207  0.861
O  0.326  0.236  0.292
O  0.393  0.313  0.196
O  0.422  0.353  0.636
O  0.475  0.423  0.524
O  0.524  0.476  0.000
O  0.577  0.525  0.476
O  0.647  0.578  0.364
O  0.687  0.607  0.804
O  0.764  0.674  0.708
O  0.793  0.711  0.139
O  0.808  0.756  0.606
O  0.874  0.775  0.042
O  0.877  0.808  0.490
O  0.916  0.851  0.935
O  0.974  0.876  0.374
O  0.984  0.914  0.833

Summary:
The value obtained for the total energy is -9.07 eV per atom.



No. 4
A relaxed structure of Nb2AsO. Source: Alexandria via LeMat-Bulk, functional PBEsol.

Unit cell a=4.295 b=4.295 c=4.295 alpha=60.00 beta=60.00 gamma=60.00
Fractional positions:
Nb  0.250  0.250  0.250
Nb  0.750  0.750  0.750
As  0.000  0.000  0.000
O  0.500  0.500  0.500

Summary:
The value obtained for the total energy is -8.58 eV per atom.



No. 5
A relaxed structure of Nb9AsO25. Source: Alexandria via LeMat-Bulk, functional PBEsol.

Unit cell a=15.825 b=15.825 c=3.857 alpha=90.00 beta=90.00 gamma=90.00
Fractional positions:
Nb  0.031  0.356  0.248
Nb  0.077  0.866  0.740
Nb  0.134  0.577  0.260
Nb  0.144  0.031  0.248
Nb  0.250  0.250  0.287
Nb  0.356  0.469  0.248
Nb  0.366  0.923  0.260
Nb  0.423  0.634  0.740
Nb  0.469  0.144  0.248
Nb  0.531  0.856  0.752
Nb  0.577  0.366  0.260
Nb  0.634  0.077  0.740
Nb  0.644  0.531  0.752
Nb  0.750  0.750  0.713
Nb  0.856  0.969  0.752
Nb  0.866  0.423  0.740
Nb  0.923  0.134  0.260
Nb  0.969  0.644  0.752
As  0.250  0.750  0.000
As  0.750  0.250  0.000
O  0.002  0.637  0.252
O  0.031  0.761  0.749
O  0.032  0.074  0.243
O  0.074  0.468  0.243
O  0.093  0.897  0.251
O  0.103  0.593  0.749
O  0.133  0.301  0.253
O  0.137  0.998  0.748
O  0.175  0.699  0.239
O  0.199  0.133  0.253
O  0.199  0.825  0.761
O  0.239  0.531  0.251
O  0.250  0.250  0.763
O  0.261  0.969  0.251
O  0.301  0.367  0.253
O  0.301  0.675  0.761
O  0.325  0.801  0.239
O  0.363  0.502  0.748
O  0.367  0.199  0.253
O  0.397  0.907  0.749
O  0.407  0.603  0.251
O  0.426  0.032  0.243
O  0.468  0.426  0.243
O  0.469  0.739  0.749
O  0.498  0.863  0.252
O  0.502  0.137  0.748
O  0.531  0.261  0.251
O  0.532  0.574  0.757
O  0.574  0.968  0.757
O  0.593  0.397  0.749
O  0.603  0.093  0.251
O  0.633  0.801  0.747
O  0.637  0.498  0.252
O  0.675  0.199  0.761
O  0.699  0.325  0.239
O  0.699  0.633  0.747
O  0.739  0.031  0.749
O  0.750  0.750  0.237
O  0.761  0.469  0.749
O  0.801  0.175  0.239
O  0.801  0.867  0.747
O  0.825  0.301  0.761
O  0.863  0.002  0.252
O  0.867  0.699  0.747
O  0.897  0.407  0.251
O  0.907  0.103  0.749
O  0.926  0.532  0.757
O  0.968  0.926  0.757
O  0.969  0.239  0.251
O  0.998  0.363  0.748

Summary:
The value obtained for the total energy is -9.07 eV per atom.



No. 6
A relaxed structure of NbAsOs3. Source: Alexandria via LeMat-Bulk, functional PBEsol.

Unit cell a=4.700 b=4.700 c=4.700 alpha=90.00 beta=90.00 gamma=90.00
Fractional positions:
Nb  0.000  0.000  0.000
As  0.500  0.500  0.500
Os  0.000  0.000  0.500
Os  0.000  0.500  0.000
Os  0.500  0.000  0.000

Summary:
As for the formation energy: 241 kJ per mole of atoms.



No. 7
A relaxed structure of Nb2AsOsSe. Source: Alexandria via LeMat-Bulk, functional PBEsol.

Unit cell a=4.966 b=4.966 c=4.433 alpha=90.00 beta=90.00 gamma=90.00
Fractional positions:
Nb  0.000  0.500  0.000
Nb  0.500  0.000  0.000
As  0.000  0.000  0.500
Os  0.500  0.500  0.000
Se  0.500  0.500  0.500

Summary:
The value obtained for the total energy is -7.50 eV per atom.



No. 8
A relaxed structure of Nb3AsP. Source: Alexandria via LeMat-Bulk, functional PBEsol.

Unit cell a=4.570 b=4.570 c=4.570 alpha=90.00 beta=90.00 gamma=90.00
Fractional positions:
Nb  0.000  0.000  0.500
Nb  0.000  0.500  0.000
Nb  0.500  0.000  0.000
As  0.500  0.500  0.500
P  0.000  0.000  0.000

Summary:
As for the formation energy: 32 kJ per mole of atoms.



| no. | density of states at the Fermi level (states/eV/atom) |
| --- | --- |
| 1 | 0.721 |
| 2 | 0.386 |
| 3 | 0.000 |
| 4 | 1.142 |
| 5 | 0.000 |
| 6 | 1.109 |
| 7 | 0.945 |
| 8 | 0.933 |